(1)
Here is a relaxed structure of CsSbP from the Alexandria database. Energies are from PBE.

Output
Formation energy (no corrections) ... -0.3027 eV per atom
Relative energy among the computed polymorphs ... 0.002 eV/atom
Total magnetic moment ... 0.000 μB/cell
DFT total energy ... -3.76 eV per atom

Cell: 6.044 6.793 7.030 Å, 109.68 105.31 90.77°
Element x y z (fractional)
1 Cs 0.105 0.316 0.210
2 Cs 0.895 0.684 0.790
3 Sb 0.499 0.846 0.309
4 Sb 0.501 0.154 0.691
5 P 0.073 0.128 0.643
6 P 0.927 0.872 0.357



(2)
Here is a relaxed structure of SnAuS2 from the Alexandria database. Energies are from PBE.

Output
Formation energy (no corrections) ... -0.0099 eV per atom
Total magnetic moment ... 0.000 μB/cell
DFT total energy ... -3.89 eV per atom

Cell: 7.017 7.017 7.017 Å, 31.53 31.53 31.53°
Element x y z (fractional)
1 Sn 0.000 0.000 0.000
2 Au 0.169 0.169 0.169
3 S 0.576 0.576 0.576
4 S 0.757 0.757 0.757



(3)
Here is a relaxed structure of K2AlOs from the Alexandria database. Energies are from PBE.

Output
Formation enthalpy at 0 K ... 0.8027 eV/atom
Total magnetic moment ... 0.310 μB/cell
DFT total energy ... -3.49 eV per atom

Cell: 6.160 6.160 6.160 Å, 139.73 124.04 71.17°
Element x y z (fractional)
1 K 0.000 0.000 0.000
2 K 0.697 0.197 0.500
3 Al 0.402 0.402 0.000
4 Os 0.297 0.797 0.500



(4)
Here is a relaxed structure of PrV2Os from the Alexandria database. Energies are from PBE.

Output
Formation enthalpy at 0 K ... 0.1546 eV/atom
Total magnetic moment ... 0.001 μB/cell
DFT total energy ... -8.41 eV per atom

Cell: 5.986 5.986 5.986 Å, 41.02 41.02 41.02°
Element x y z (fractional)
1 Pr 0.000 0.000 0.000
2 V 0.199 0.199 0.199
3 V 0.801 0.801 0.801
4 Os 0.500 0.500 0.500



(5)
Here is a relaxed structure of TiZnSbP3O12 from the Alexandria database. Energies are from PBE.

Output
Formation energy (no corrections) ... -2.0917 eV per atom
Total magnetic moment ... 0.000 μB/cell
DFT total energy ... -7.04 eV per atom

Cell: 8.406 8.406 8.406 Å, 63.98 63.98 63.98°
Element x y z (fractional)
1 Ti 0.000 0.000 0.000
2 Ti 0.500 0.500 0.500
3 Zn 0.155 0.155 0.155
4 Zn 0.655 0.655 0.655
5 Sb 0.314 0.314 0.314
6 Sb 0.814 0.814 0.814
7 P 0.084 0.396 0.718
8 P 0.218 0.896 0.584
9 P 0.396 0.718 0.084
10 P 0.584 0.218 0.896
11 P 0.718 0.084 0.396
12 P 0.896 0.584 0.218
13 O 0.066 0.404 0.237
14 O 0.081 0.242 0.910
15 O 0.081 0.325 0.583
16 O 0.083 0.825 0.581
17 O 0.146 0.950 0.768
18 O 0.237 0.066 0.404
19 O 0.242 0.910 0.081
20 O 0.268 0.450 0.646
21 O 0.325 0.583 0.081
22 O 0.404 0.237 0.066
23 O 0.410 0.742 0.581
24 O 0.450 0.646 0.268
25 O 0.566 0.737 0.904
26 O 0.581 0.083 0.825
27 O 0.581 0.410 0.742
28 O 0.583 0.081 0.325
29 O 0.646 0.268 0.450
30 O 0.737 0.904 0.566
31 O 0.742 0.581 0.410
32 O 0.768 0.146 0.950
33 O 0.825 0.581 0.083
34 O 0.904 0.566 0.737
35 O 0.910 0.081 0.242
36 O 0.950 0.768 0.146



(6)
Here is a relaxed structure of CrHgRh2 from the Alexandria database. Energies are from PBE.

Output
Formation enthalpy at 0 K ... 0.1832 eV/atom
Total magnetic moment ... 2.811 μB/cell
DFT total energy ... -5.97 eV per atom

Cell: 4.736 4.736 4.942 Å, 102.06 102.06 35.41°
Element x y z (fractional)
1 Cr 0.000 0.000 0.000
2 Hg 0.500 0.500 0.500
3 Rh 0.263 0.263 0.774
4 Rh 0.737 0.737 0.226



(7)
Here is a relaxed structure of KBe2In from the Alexandria database. Energies are from PBE.

Output
Formation enthalpy at 0 K ... 0.7242 eV/atom
Total magnetic moment ... 0.000 μB/cell
DFT total energy ... -2.10 eV per atom

Cell: 6.127 6.127 6.127 Å, 152.56 124.21 63.27°
Element x y z (fractional)
1 K 0.000 0.000 0.000
2 Be 0.316 0.816 0.500
3 Be 0.470 0.470 0.000
4 In 0.692 0.192 0.500



(8)
Here is a relaxed structure of YTlSN2 from the Alexandria database. Energies are from PBE.

Output
Formation energy (no corrections) ... 0.8142 eV per atom
Relative energy among the computed polymorphs ... 0.353 eV/atom
Total magnetic moment ... 1.366 μB/cell
DFT total energy ... -5.11 eV per atom

Cell: 4.231 4.231 5.302 Å, 90.00 90.00 90.00°
Element x y z (fractional)
1 Y 0.000 0.000 0.000
2 Tl 0.500 0.500 0.500
3 S 0.500 0.500 0.000
4 N 0.000 0.500 0.500
5 N 0.500 0.000 0.500



(9)
Here is a relaxed structure of MgVReBr2 from the Alexandria database. Energies are from PBE.

Output
Formation energy (no corrections) ... 1.4435 eV per atom
Total magnetic moment ... 8.009 μB/cell
DFT total energy ... -3.86 eV per atom

Cell: 4.868 4.868 6.434 Å, 90.00 90.00 90.00°
Element x y z (fractional)
1 Mg 0.000 0.000 0.000
2 V 0.000 0.000 0.500
3 Re 0.500 0.500 0.500
4 Br 0.000 0.500 0.000
5 Br 0.500 0.000 0.000



(10)
Here is a relaxed structure of BaPaSiN4 from the Alexandria database. Energies are from PBE.

Output
Formation energy (no corrections) ... -1.0099 eV per atom
Total magnetic moment ... 0.576 μB/cell
DFT total energy ... -8.17 eV per atom

Cell: 5.628 5.611 7.532 Å, 90.00 107.50 90.00°
Element x y z (fractional)
1 Ba 0.208 0.250 0.426
2 Ba 0.792 0.750 0.574
3 Pa 0.278 0.250 0.951
4 Pa 0.722 0.750 0.049
5 Si 0.258 0.750 0.169
6 Si 0.742 0.250 0.831
7 N 0.051 0.750 0.942
8 N 0.065 0.750 0.311
9 N 0.466 0.512 0.184
10 N 0.466 0.988 0.184
11 N 0.534 0.012 0.816
12 N 0.534 0.488 0.816
13 N 0.935 0.250 0.689
14 N 0.949 0.250 0.058



(11)
Here is a relaxed structure of K2YInCl6 from the Alexandria database. Energies are from PBE.

Output
Formation energy (no corrections) ... -1.8124 eV per atom
Relative energy among the computed polymorphs ... 0.078 eV/atom
Total magnetic moment ... 0.000 μB/cell
DFT total energy ... -4.06 eV per atom

Cell: 8.012 8.012 8.012 Å, 60.00 60.00 60.00°
Element x y z (fractional)
1 K 0.250 0.250 0.250
2 K 0.750 0.750 0.750
3 Y 0.000 0.000 0.000
4 In 0.500 0.500 0.500
5 Cl 0.233 0.233 0.767
6 Cl 0.233 0.767 0.233
7 Cl 0.233 0.767 0.767
8 Cl 0.767 0.233 0.233
9 Cl 0.767 0.233 0.767
10 Cl 0.767 0.767 0.233



(12)
Here is a relaxed structure of Tc2Os2F from the Alexandria database. Energies are from PBE.

Output
Formation energy (no corrections) ... 0.2956 eV per atom
Relative energy among the computed polymorphs ... 0.000 eV/atom
Total magnetic moment ... 0.000 μB/cell
DFT total energy ... -8.72 eV per atom

Cell: 7.548 7.548 2.735 Å, 90.00 90.00 90.00°
Element x y z (fractional)
1 Tc 0.153 0.347 0.000
2 Tc 0.347 0.847 0.000
3 Tc 0.653 0.153 0.000
4 Tc 0.847 0.653 0.000
5 Os 0.138 0.638 0.500
6 Os 0.362 0.138 0.500
7 Os 0.638 0.862 0.500
8 Os 0.862 0.362 0.500
9 F 0.000 0.000 0.500
10 F 0.500 0.500 0.500